Model one:
A plane-wave DFT calculation with GGA-PBE was carried out for an optimized crystal structure of CdAu15.

Cell: 8.2107 47.3689 4.1499 Å, 90.00 90.00 90.00°
Positions (direct):
Au (0.8751, 0.1564, 0.0000)
Au (0.8750, 0.0670, 0.0000)
Au (0.3814, 0.3350, 0.0000)
Au (0.1250, 0.0223, 0.0000)
Au (0.8767, 0.7536, 0.5000)
Au (0.3730, 0.2897, 0.5000)
Au (0.6259, 0.2012, 0.0000)
Au (0.3750, 0.9330, 0.5000)
Au (0.8767, 0.2464, 0.0000)
Au (0.1216, 0.7076, 0.5000)
Au (0.3752, 0.8883, 0.0000)
Au (0.8750, 0.9777, 0.0000)
Au (0.8759, 0.2013, 0.5000)
Au (0.3750, 0.1566, 0.0000)
Au (0.6186, 0.6650, 0.0000)
Au (0.3752, 0.1117, 0.5000)
Au (0.8784, 0.2924, 0.5000)
Au (0.1216, 0.2924, 0.0000)
Au (0.8748, 0.8883, 0.0000)
Au (0.3814, 0.6650, 0.5000)
Au (0.6186, 0.3350, 0.5000)
Au (0.1250, 0.9330, 0.0000)
Au (0.3750, 0.9777, 0.0000)
Au (0.6250, 0.0223, 0.0000)
Au (0.8750, 0.0223, 0.5000)
Au (0.6267, 0.7543, 0.0000)
Au (0.6270, 0.2897, 0.0000)
Au (0.6250, 0.1566, 0.5000)
Au (0.3733, 0.7543, 0.5000)
Au (0.3750, 0.0223, 0.5000)
Au (0.8748, 0.1117, 0.5000)
Au (0.6250, 0.8434, 0.0000)
Au (0.6270, 0.7103, 0.5000)
Au (0.3733, 0.2457, 0.0000)
Au (0.6248, 0.1117, 0.0000)
Au (0.1249, 0.8436, 0.0000)
Au (0.3750, 0.0670, 0.0000)
Au (0.6250, 0.9777, 0.5000)
Au (0.6248, 0.8883, 0.5000)
Au (0.1233, 0.2464, 0.5000)
Au (0.3741, 0.2012, 0.5000)
Au (0.3741, 0.7988, 0.0000)
Au (0.6267, 0.2457, 0.5000)
Au (0.1250, 0.9777, 0.5000)
Au (0.1249, 0.1564, 0.5000)
Au (0.1252, 0.8883, 0.5000)
Au (0.1241, 0.7987, 0.5000)
Au (0.6250, 0.0670, 0.5000)
Au (0.8751, 0.8436, 0.5000)
Au (0.6250, 0.9330, 0.0000)
Au (0.8784, 0.7076, 0.0000)
Au (0.8759, 0.7987, 0.0000)
Au (0.1241, 0.2013, 0.0000)
Au (0.1233, 0.7536, 0.0000)
Au (0.1252, 0.1117, 0.0000)
Au (0.1250, 0.0670, 0.5000)
Au (0.6259, 0.7988, 0.5000)
Au (0.8750, 0.9330, 0.5000)
Au (0.3750, 0.8434, 0.5000)
Au (0.3730, 0.7103, 0.0000)
Cd (0.1422, 0.6610, 0.0000)
Cd (0.8578, 0.6610, 0.5000)
Cd (0.8578, 0.3390, 0.0000)
Cd (0.1422, 0.3390, 0.5000)

Results
As for the space group: Pccm, No. 49. As for the volume: 25.22 A^3/atom.

---

Model two:
A plane-wave DFT calculation with GGA-PBE was carried out for an optimized crystal structure of CdAu15.

Cell: 5.8711 4.1386 37.6646 Å, 90.00 90.01 90.00°
Positions (direct):
Au (0.6250, 0.2500, 0.7154)
Au (0.6258, 0.2500, 0.3224)
Au (0.8757, 0.7500, 0.6777)
Au (0.8750, 0.7500, 0.2839)
Au (0.1219, 0.2500, 0.2414)
Au (0.1249, 0.2500, 0.4801)
Au (0.8749, 0.7500, 0.4412)
Au (0.8751, 0.7500, 0.5199)
Au (0.3749, 0.7500, 0.2072)
Au (0.3720, 0.7500, 0.7586)
Au (0.3750, 0.7500, 0.2846)
Au (0.6250, 0.2500, 0.6375)
Au (0.8781, 0.7500, 0.7586)
Au (0.1250, 0.2500, 0.6372)
Au (0.6251, 0.2500, 0.7928)
Au (0.8750, 0.7500, 0.3628)
Au (0.1243, 0.2500, 0.3223)
Au (0.3751, 0.7500, 0.4412)
Au (0.6280, 0.2500, 0.2414)
Au (0.1253, 0.2500, 0.4014)
Au (0.3742, 0.7500, 0.6776)
Au (0.1250, 0.2500, 0.7161)
Au (0.6251, 0.2500, 0.4802)
Au (0.6247, 0.2500, 0.4014)
Au (0.3749, 0.7500, 0.5198)
Au (0.1251, 0.2500, 0.5588)
Au (0.8747, 0.7500, 0.5986)
Au (0.3750, 0.7500, 0.3625)
Au (0.3753, 0.7500, 0.5986)
Au (0.6249, 0.2500, 0.5588)
Cd (0.1249, 0.2500, 0.7963)
Cd (0.8751, 0.7500, 0.2037)

Results
As for the space group: P2_1/m, No. 11. As for the volume: 28.60 A^3/atom.

---

Going by the computed energies, the most stable comes first: model one, model two.

---

Model one:
A plane-wave DFT calculation with GGA-PBE was carried out for an optimized crystal structure of CdAu15.

Cell: 5.8356 2.9410 47.0977 Å, 90.00 90.01 90.00°
Positions (direct):
Cd (0.1250, 0.5000, 0.8384)
Cd (0.8750, 0.0000, 0.1616)
Au (0.8750, 0.0000, 0.4329)
Au (0.1241, 0.5000, 0.2988)
Au (0.3750, 0.0000, 0.1650)
Au (0.1250, 0.5000, 0.4776)
Au (0.3750, 0.0000, 0.5224)
Au (0.3733, 0.0000, 0.7908)
Au (0.8767, 0.0000, 0.7908)
Au (0.8759, 0.0000, 0.7012)
Au (0.1250, 0.5000, 0.6565)
Au (0.6250, 0.5000, 0.4776)
Au (0.1250, 0.5000, 0.5671)
Au (0.1233, 0.5000, 0.2092)
Au (0.6249, 0.5000, 0.3882)
Au (0.1250, 0.5000, 0.7462)
Au (0.8750, 0.0000, 0.2538)
Au (0.3750, 0.0000, 0.3434)
Au (0.8749, 0.0000, 0.6118)
Au (0.6267, 0.5000, 0.2092)
Au (0.6259, 0.5000, 0.2988)
Au (0.3750, 0.0000, 0.2543)
Au (0.3751, 0.0000, 0.6118)
Au (0.3750, 0.0000, 0.4329)
Au (0.6250, 0.5000, 0.8350)
Au (0.8750, 0.0000, 0.3435)
Au (0.3741, 0.0000, 0.7012)
Au (0.1251, 0.5000, 0.3882)
Au (0.8750, 0.0000, 0.5224)
Au (0.6250, 0.5000, 0.6566)
Au (0.6250, 0.5000, 0.5671)
Au (0.6250, 0.5000, 0.7456)

Results
As for the space group: P2_1/m, No. 11. As for the volume: 25.26 A^3/atom.

---

Model two:
A plane-wave DFT calculation with GGA-PBE was carried out for an optimized crystal structure of CdAu15.

Cell: 4.1344 4.1359 47.2679 Å, 90.00 90.00 90.00°
Positions (direct):
Au (0.7500, 0.5000, 0.3435)
Au (0.7500, 0.5000, 0.2540)
Au (0.7500, 0.5000, 0.5223)
Au (0.7500, 0.0000, 0.2092)
Au (0.2500, 0.5000, 0.2092)
Au (0.7500, 0.5000, 0.7011)
Au (0.7500, 0.0000, 0.7457)
Au (0.2500, 0.5000, 0.6565)
Au (0.2500, 0.0000, 0.3436)
Au (0.2500, 0.0000, 0.5224)
Au (0.7500, 0.0000, 0.2989)
Au (0.7500, 0.0000, 0.6564)
Au (0.2500, 0.5000, 0.5671)
Au (0.2500, 0.0000, 0.6118)
Au (0.2500, 0.5000, 0.8345)
Au (0.7500, 0.0000, 0.3882)
Au (0.7500, 0.5000, 0.4329)
Au (0.7500, 0.5000, 0.7908)
Au (0.2500, 0.0000, 0.2543)
Au (0.2500, 0.0000, 0.7011)
Au (0.7500, 0.5000, 0.6118)
Au (0.7500, 0.5000, 0.1655)
Au (0.7500, 0.0000, 0.4776)
Au (0.2500, 0.5000, 0.2989)
Au (0.2500, 0.0000, 0.4330)
Au (0.7500, 0.0000, 0.5670)
Au (0.2500, 0.5000, 0.7460)
Au (0.2500, 0.0000, 0.7908)
Au (0.2500, 0.5000, 0.4777)
Au (0.2500, 0.5000, 0.3882)
Cd (0.2500, 0.0000, 0.1607)
Cd (0.7500, 0.0000, 0.8393)

Results
As for the space group: Pmma, No. 51. As for the volume: 25.26 A^3/atom.

---

Going by the computed energies, the most stable comes first: model two, model one.

---

Model one:
A plane-wave DFT calculation with GGA-PBE was carried out for an optimized crystal structure of CdAu15.

Cell: 8.3486 2.9098 37.6513 Å, 90.00 90.03 90.00°
Positions (direct):
Au (0.1249, 0.2500, 0.2849)
Au (0.1249, 0.2500, 0.3623)
Au (0.8753, 0.7500, 0.4803)
Au (0.3750, 0.7500, 0.6374)
Au (0.8724, 0.7500, 0.2411)
Au (0.3770, 0.7500, 0.3222)
Au (0.6251, 0.2500, 0.2831)
Au (0.3748, 0.7500, 0.4802)
Au (0.1247, 0.2500, 0.5197)
Au (0.1250, 0.2500, 0.5987)
Au (0.6251, 0.2500, 0.4412)
Au (0.6250, 0.2500, 0.3626)
Au (0.1249, 0.2500, 0.4409)
Au (0.3750, 0.7500, 0.4013)
Au (0.6252, 0.2500, 0.5198)
Au (0.6230, 0.2500, 0.6778)
Au (0.8749, 0.7500, 0.7921)
Au (0.6250, 0.2500, 0.5987)
Au (0.8751, 0.7500, 0.7151)
Au (0.8730, 0.7500, 0.3221)
Au (0.8751, 0.7500, 0.6377)
Au (0.1276, 0.2500, 0.7589)
Au (0.3776, 0.7500, 0.2412)
Au (0.3749, 0.7500, 0.5588)
Au (0.8751, 0.7500, 0.5591)
Au (0.8749, 0.7500, 0.4013)
Au (0.1270, 0.2500, 0.6779)
Au (0.1251, 0.2500, 0.2079)
Au (0.3749, 0.7500, 0.7169)
Au (0.6224, 0.2500, 0.7588)
Cd (0.6250, 0.2500, 0.2024)
Cd (0.3750, 0.7500, 0.7976)

Results
As for the space group: P2_1/m, No. 11. As for the volume: 28.58 A^3/atom.

---

Model two:
A plane-wave DFT calculation with GGA-PBE was carried out for an optimized crystal structure of CdAu15.

Cell: 5.0785 37.7105 5.0784 Å, 90.00 109.58 90.00°
Positions (direct):
Au (0.0000, 0.2840, 0.7500)
Au (0.0000, 0.7160, 0.2500)
Au (0.0000, 0.2416, 0.2500)
Au (0.5000, 0.6375, 0.7500)
Au (0.0000, 0.5198, 0.7500)
Au (0.5000, 0.2843, 0.2500)
Au (0.5000, 0.4014, 0.7500)
Au (0.5000, 0.2416, 0.7500)
Au (0.5000, 0.4802, 0.7500)
Au (0.0000, 0.4014, 0.2500)
Au (0.5000, 0.3625, 0.2500)
Au (0.5000, 0.7157, 0.7500)
Au (0.5000, 0.5986, 0.2500)
Au (0.0000, 0.7584, 0.7500)
Au (0.5000, 0.5589, 0.7500)
Au (0.5000, 0.7932, 0.7500)
Au (0.5000, 0.7584, 0.2500)
Au (0.0000, 0.6373, 0.2500)
Au (0.0000, 0.5986, 0.7500)
Au (0.5000, 0.5198, 0.2500)
Au (0.5000, 0.2068, 0.2500)
Au (0.0000, 0.5588, 0.2500)
Au (0.0000, 0.3224, 0.2500)
Au (0.5000, 0.4411, 0.2500)
Au (0.0000, 0.4412, 0.7500)
Au (0.0000, 0.4802, 0.2500)
Au (0.5000, 0.6776, 0.2500)
Au (0.0000, 0.3627, 0.7500)
Au (0.5000, 0.3224, 0.7500)
Au (0.0000, 0.6776, 0.7500)
Cd (0.0000, 0.2034, 0.7500)
Cd (0.0000, 0.7966, 0.2500)

Results
As for the space group: P2/c, No. 13. As for the volume: 28.64 A^3/atom.

---

Going by the computed energies, the most stable comes first: model two, model one.

---

Model one:
A plane-wave DFT calculation with GGA-PBE was carried out for an optimized crystal structure of CdCoMoAu.

Cell: 4.4709 4.4709 4.4709 Å, 60.00 60.00 60.00°
Positions (direct):
Au (0.7500, 0.7500, 0.7500)
Co (0.5000, 0.5000, 0.5000)
Mo (0.2500, 0.2500, 0.2500)
Cd (0.0000, 0.0000, 0.0000)

Results
As for the space group: F-43m, No. 216. As for the volume: 15.80 A^3/atom. Its total magnetic moment is 0.00 Bohr magnetons per cell.

---

Model two:
A plane-wave DFT calculation with GGA-PBE was carried out for an optimized crystal structure of CdCoMoAu.

Cell: 4.5103 4.5103 4.5103 Å, 60.00 60.00 60.00°
Positions (direct):
Au (0.7500, 0.7500, 0.7500)
Mo (0.0000, 0.0000, 0.0000)
Co (0.2500, 0.2500, 0.2500)
Cd (0.5000, 0.5000, 0.5000)

Results
As for the space group: F-43m, No. 216. As for the volume: 16.22 A^3/atom. Its total magnetic moment is 0.33 Bohr magnetons per cell.

---

Going by the computed energies, the most stable comes first: model two, model one.

---

Model one:
A plane-wave DFT calculation with GGA-PBE was carried out for an optimized crystal structure of CsCdPbAu.

Cell: 5.6056 5.6056 5.6056 Å, 60.00 60.00 60.00°
Positions (direct):
Pb (0.2500, 0.2500, 0.2500)
Au (0.7500, 0.7500, 0.7500)
Cd (0.5000, 0.5000, 0.5000)
Cs (0.0000, 0.0000, 0.0000)

Results
As for the space group: F-43m, No. 216. As for the volume: 31.14 A^3/atom.

---

Model two:
A plane-wave DFT calculation with GGA-PBE was carried out for an optimized crystal structure of CsCdPbAu.

Cell: 5.6473 5.6473 5.6473 Å, 60.00 60.00 60.00°
Positions (direct):
Cd (0.2500, 0.2500, 0.2500)
Cs (0.0000, 0.0000, 0.0000)
Pb (0.5000, 0.5000, 0.5000)
Au (0.7500, 0.7500, 0.7500)

Results
As for the space group: F-43m, No. 216. As for the volume: 31.84 A^3/atom.

---

Going by the computed energies, the most stable comes first: model two, model one.

---

Model one:
A plane-wave DFT calculation with GGA-PBE was carried out for an optimized crystal structure of LuCdCuAu.

Cell: 4.7204 4.7204 4.7204 Å, 60.00 60.00 60.00°
Positions (direct):
Cu (0.5000, 0.5000, 0.5000)
Cd (0.0000, 0.0000, 0.0000)
Au (0.2500, 0.2500, 0.2500)
Lu (0.7500, 0.7500, 0.7500)

Results
As for the space group: F-43m, No. 216. As for the volume: 18.59 A^3/atom. Its total magnetic moment is 0.00 Bohr magnetons per cell.

---

Model two:
A plane-wave DFT calculation with GGA-PBE was carried out for an optimized crystal structure of LuCdCuAu.

Cell: 4.7622 4.7622 4.7622 Å, 60.00 60.00 60.00°
Positions (direct):
Cd (0.5000, 0.5000, 0.5000)
Lu (0.7500, 0.7500, 0.7500)
Cu (0.2500, 0.2500, 0.2500)
Au (0.0000, 0.0000, 0.0000)

Results
As for the space group: F-43m, No. 216. As for the volume: 19.09 A^3/atom. Its total magnetic moment is 0.00 Bohr magnetons per cell.

---

Model three:
A plane-wave DFT calculation with GGA-PBE was carried out for an optimized crystal structure of LuCdCuAu.

Cell: 4.7581 4.7581 4.7581 Å, 60.00 60.00 60.00°
Positions (direct):
Lu (0.7500, 0.7500, 0.7500)
Cd (0.2500, 0.2500, 0.2500)
Au (0.0000, 0.0000, 0.0000)
Cu (0.5000, 0.5000, 0.5000)

Results
As for the space group: F-43m, No. 216. As for the volume: 19.04 A^3/atom. Its total magnetic moment is 0.00 Bohr magnetons per cell.

---

Going by the computed energies, the most stable comes first: model three, model two, model one.

---

Model one:
A plane-wave DFT calculation with GGA-PBE was carried out for an optimized crystal structure of YCdCuAu.

Cell: 4.7925 4.7925 4.7925 Å, 60.00 60.00 60.00°
Positions (direct):
Y (0.7500, 0.7500, 0.7500)
Au (0.2500, 0.2500, 0.2500)
Cd (0.0000, 0.0000, 0.0000)
Cu (0.5000, 0.5000, 0.5000)

Results
As for the space group: F-43m, No. 216. As for the volume: 19.46 A^3/atom. Its total magnetic moment is 0.00 Bohr magnetons per cell.

---

Model two:
A plane-wave DFT calculation with GGA-PBE was carried out for an optimized crystal structure of YCdCuAu.

Cell: 4.8315 4.8315 4.8315 Å, 60.00 60.00 60.00°
Positions (direct):
Cd (0.5000, 0.5000, 0.5000)
Au (0.0000, 0.0000, 0.0000)
Cu (0.2500, 0.2500, 0.2500)
Y (0.7500, 0.7500, 0.7500)

Results
As for the space group: F-43m, No. 216. As for the volume: 19.94 A^3/atom. Its total magnetic moment is 0.00 Bohr magnetons per cell.

---

Model three:
A plane-wave DFT calculation with GGA-PBE was carried out for an optimized crystal structure of YCdCuAu.

Cell: 4.8273 4.8273 4.8273 Å, 60.00 60.00 60.00°
Positions (direct):
Cu (0.5000, 0.5000, 0.5000)
Cd (0.2500, 0.2500, 0.2500)
Au (0.0000, 0.0000, 0.0000)
Y (0.7500, 0.7500, 0.7500)

Results
As for the space group: F-43m, No. 216. As for the volume: 19.89 A^3/atom. Its total magnetic moment is 0.00 Bohr magnetons per cell.

---

Going by the computed energies, the most stable comes first: model three, model two, model one.